Record 1
VASP calculation (PBEsol) on a relaxed structure of KMn2Rh.

Cell: 4.634 4.618 4.634 Å, 59.88 90.00 120.12°
Positions (direct):
K (0.000, 0.000, 0.000)
Mn (0.250, 0.500, 0.250)
Mn (0.750, 0.500, 0.750)
Rh (0.500, 0.000, 0.500)

Summary:
Its energy of formation from the pure elements is 1057 meV/atom. As for the magnetization: 2.16 μB/atom. Its calculated total energy is -6.14 eV/atom.


Record 2
VASP calculation (PBEsol) on a relaxed structure of K2MnRh.

Cell: 3.018 5.530 6.022 Å, 117.33 90.00 90.00°
Positions (direct):
K (0.000, 0.000, 0.500)
K (0.000, 0.500, 0.500)
Mn (0.500, 0.000, 0.000)
Rh (0.500, 0.500, 0.000)

Summary:
Its energy of formation from the pure elements is 1100 meV/atom. As for the magnetization: 1.10 μB/atom. Its calculated total energy is -3.94 eV/atom.


Record 3
VASP calculation (PBEsol) on a relaxed structure of K2MnRh.

Cell: 5.045 5.045 5.045 Å, 60.00 60.00 60.00°
Positions (direct):
K (0.000, 0.000, 0.000)
K (0.750, 0.750, 0.750)
Mn (0.500, 0.500, 0.500)
Rh (0.250, 0.250, 0.250)

Summary:
Its energy of formation from the pure elements is 982 meV/atom. As for the magnetization: 1.23 μB/atom. Its calculated total energy is -4.06 eV/atom.